# ZrCd3Pt

ZrCd3Pt after structural relaxation (PBE, the Alexandria database).

The calculation puts the energy at -2.098 eV per atom. The calculation puts the total magnetization at 0.00 μB per formula unit. The value obtained for the energy of formation is 1368 meV/atom. Its energy above the lowest structure with this stoichiometry is 950 meV/atom.

The space group is Pm-3m (No. 221) and the conventional cell measures 5.482, 5.482 and 5.482 Å, with angles of 90.00, 90.00 and 90.00 degrees. Symmetry generates all atoms from Zr at (0.000, 0.000, 0.000), Cd at (0.000, 0.000, 0.500) and Pt at (0.500, 0.500, 0.500).